# Tb8NiTe4P3 (GGA-PBE, relaxed)
data_Tb8NiTe4P3
_chemical_formula_sum 'Tb24 Ni3 Te12 P9'
_cell_length_a 8.2905
_cell_length_b 8.2905
_cell_length_c 21.1518
_cell_angle_alpha 90.00
_cell_angle_beta 90.00
_cell_angle_gamma 120.00
_space_group_name_H-M_alt 'R -3 m'
_space_group_IT_number 166
_space_group_name_Hall '-R 3 2"'
loop_
_atom_site_label
_atom_site_fract_x
_atom_site_fract_y
_atom_site_fract_z
_atom_site_occupancy
Tb1 0.0000 0.0000 0.2369 1
Tb2 0.0046 0.5023 0.2371 1
Ni1 0.0000 0.0000 0.5000 1
Te1 0.0000 0.0000 0.0000 1
Te2 0.0000 0.5000 0.0000 1
P1 0.0000 0.5000 0.5000 1
# Uncorrected energy ... -5.83 eV per atom
# Magnetization ... 0.00 μB/f.u.
# Formation energy (no corrections) ... -1.35 eV/atom
# D(E_F) ... 29.1 states/eV per cell